A geometry-optimized Sr4YFe structure, computed with GGA-PBEsol.

Unit cell a=6.992 b=6.992 c=6.992 alpha=60.00 beta=60.00 gamma=60.00
Fractional positions:
Fe: 0.000 0.000 0.000
Sr: 0.375 0.375 0.375
Sr: 0.375 0.375 0.876
Sr: 0.876 0.375 0.375
Sr: 0.375 0.876 0.375
Y: 0.750 0.750 0.750

SG ... F-43m, No. 216
Density of states at the Fermi level ... 2.176 states/eV per atom
E_form ... 1.0003 eV/atom

A geometry-optimized SrZn3Fe structure, computed with GGA-PBEsol.

Unit cell a=4.619 b=4.619 c=4.619 alpha=90.00 beta=90.00 gamma=90.00
Fractional positions:
Sr: 0.500 0.500 0.500
Zn: 0.000 0.500 0.000
Zn: 0.000 0.000 0.500
Zn: 0.500 0.000 0.000
Fe: 0.000 0.000 0.000

SG ... Pm-3m, No. 221
Density of states at the Fermi level ... 0.677 states/eV per atom
E_form ... 0.0680 eV/atom